Ni3P2Pb2 | Alexandria via LeMat-Bulk | PBE-GGA | relaxed; magnetic moment = 0.00 μB per cell; energy of formation from the pure elements = -0.109 eV/atom; space-group type = I2_13, No. 199; distance to the lowest polymorph of the same formula = 0.00 kJ per mole of atoms
1.0
-3.9776 3.9776 3.9776
3.9776 -3.9776 3.9776
3.9776 3.9776 -3.9776
Ni P Pb
6 4 4
direct
0.0150 0.2500 0.2650 Ni
0.2350 0.4850 0.7500 Ni
0.2500 0.2650 0.0150 Ni
0.2650 0.0150 0.2500 Ni
0.4850 0.7500 0.2350 Ni
0.7500 0.2350 0.4850 Ni
0.0000 0.5433 0.5000 P
0.5000 0.0000 0.5433 P
0.5433 0.5000 0.0000 P
0.9567 0.9567 0.9567 P
0.0000 0.9771 0.5000 Pb
0.5000 0.0000 0.9771 Pb
0.5229 0.5229 0.5229 Pb
0.9771 0.5000 0.0000 Pb

***

NbCoRuPt | Alexandria via LeMat-Bulk | PBE-GGA | relaxed; magnetic moment = 0.00 μB per cell; energy of formation from the pure elements = -0.361 eV/atom; space-group type = Pmmm, No. 47
1.0
3.7744 0.0000 0.0000
0.0000 3.8209 0.0000
0.0000 0.0000 3.9740
Nb Co Ru Pt
1 1 1 1
direct
0.0000 0.0000 0.0000 Nb
0.5000 0.0000 0.5000 Co
0.5000 0.5000 0.0000 Ru
0.0000 0.5000 0.5000 Pt

***

AlZnOs2 | Alexandria via LeMat-Bulk | PBE-GGA | relaxed; magnetic moment = 0.00 μB per cell; energy of formation from the pure elements = 0.116 eV/atom; space-group type = P2/m, No. 10
1.0
2.7643 0.0000 0.0000
0.0000 4.2101 0.0000
-0.3824 0.0000 4.9395
Al Zn Os
1 1 2
direct
0.0000 0.0000 0.0000 Al
0.5000 0.0000 0.5000 Zn
0.2374 0.5000 0.7514 Os
0.7626 0.5000 0.2486 Os

***

Ag3IBr2 | Alexandria via LeMat-Bulk | PBE-GGA | relaxed; energy relative to the elements, uncorrected = -7.2 kcal/mol of atoms; magnetic moment = 0.00 μB per cell; space-group type = Fdd2, No. 43
1.0
0.0000 13.6123 6.4138
4.5379 0.0000 6.4138
4.5379 13.6123 0.0000
Ag I Br
12 4 8
direct
0.0044 0.4956 0.0037 Ag
0.0713 0.9178 0.0938 Ag
0.1562 0.3330 0.1787 Ag
0.2463 0.7537 0.2456 Ag
0.3330 0.1562 0.3322 Ag
0.4058 0.5820 0.4285 Ag
0.4956 0.0044 0.4963 Ag
0.5820 0.4058 0.5837 Ag
0.6663 0.8215 0.6680 Ag
0.7537 0.2463 0.7544 Ag
0.8215 0.6663 0.8442 Ag
0.9178 0.0713 0.9170 Ag
0.2022 0.5402 0.4593 I
0.4517 0.7907 0.7098 I
0.5402 0.2022 0.7983 I
0.7907 0.4517 0.0478 I
0.0359 0.7062 0.2947 Br
0.1209 0.1209 0.3791 Br
0.2868 0.9553 0.5438 Br
0.3713 0.3713 0.6287 Br
0.6213 0.6213 0.8787 Br
0.7062 0.0359 0.9632 Br
0.8709 0.8709 0.1291 Br
0.9553 0.2868 0.2141 Br

***

TaV2Ir | Alexandria via LeMat-Bulk | PBE-GGA | relaxed; magnetic moment = 0.00 μB per cell; energy of formation from the pure elements = -0.312 eV/atom; space-group type = P4/mmm, No. 123; distance to the lowest polymorph of the same formula = 0.27 kJ per mole of atoms
1.0
4.3411 0.0000 0.0000
0.0000 4.3411 0.0000
0.0000 0.0000 3.1261
Ta V Ir
1 2 1
direct
0.0000 0.0000 0.0000 Ta
0.0000 0.5000 0.5000 V
0.5000 0.0000 0.5000 V
0.5000 0.5000 0.0000 Ir

***

K2BaCdGa | Alexandria via LeMat-Bulk | PBE-GGA | relaxed; magnetic moment = 0.34 μB per cell; energy of formation from the pure elements = 0.135 eV/atom; space-group type = P4/mmm, No. 123
1.0
6.5155 0.0000 0.0000
0.0000 6.5155 0.0000
0.0000 0.0000 5.3733
K Ba Cd Ga
2 1 1 1
direct
0.0000 0.5000 0.0000 K
0.5000 0.0000 0.0000 K
0.0000 0.0000 0.5000 Ba
0.5000 0.5000 0.5000 Cd
0.5000 0.5000 0.0000 Ga

***

LiScNb2P | Alexandria via LeMat-Bulk | PBE-GGA | relaxed; magnetic moment = 0.00 μB per cell; energy of formation from the pure elements = 1.495 eV/atom; space-group type = P4/mmm, No. 123
1.0
4.7936 0.0000 0.0000
0.0000 4.7936 0.0000
0.0000 0.0000 4.1912
Li Sc Nb P
1 1 2 1
direct
0.0000 0.0000 0.0000 Li
0.0000 0.0000 0.5000 Sc
0.0000 0.5000 0.5000 Nb
0.5000 0.0000 0.5000 Nb
0.5000 0.5000 0.0000 P

***

SrLiAcS3 | Alexandria via LeMat-Bulk | PBE-GGA | relaxed; energy relative to the elements, uncorrected = -43.9 kcal/mol of atoms; magnetic moment = 0.00 μB per cell; space-group type = P2_1/m, No. 11
1.0
8.7837 0.0000 0.0000
0.0000 4.1884 0.0000
-1.2867 0.0000 8.7053
Sr Li Ac S
2 2 2 6
direct
0.2173 0.2500 0.1612 Sr
0.7827 0.7500 0.8388 Sr
0.4180 0.7500 0.9182 Li
0.5820 0.2500 0.0818 Li
0.1869 0.2500 0.6563 Ac
0.8131 0.7500 0.3437 Ac
0.1393 0.7500 0.8872 S
0.1609 0.7500 0.4111 S
0.4924 0.7500 0.1890 S
0.5076 0.2500 0.8110 S
0.8391 0.2500 0.5889 S
0.8607 0.2500 0.1128 S

***

Q: Among the records above, which one has the highest magnetic moment?
A: K2BaCdGa